1.
GeIrCl3 | PBE | relaxed

Lattice parameters (Å, degrees): 4.8122 4.8122 4.8122 90.00 90.00 90.00
Fractional positions:
Ge (0.5000, 0.5000, 0.5000)
Ir (0.0000, 0.0000, 0.0000)
Cl (0.0000, 0.5000, 0.0000)
Cl (0.0000, 0.0000, 0.5000)
Cl (0.5000, 0.0000, 0.0000)

## Properties
Polymorph energy (0 for the lowest one) in kJ per mole of atoms: 0.0
Symmetry: Pm-3m, No. 221
DOS at the Fermi energy in states/eV per cell: 2.47
Raw total energy in eV per atom: -3.55
Volume in Å³ per cell: 111
E_form (uncorrected) in meV/atom: 257
Magnetization in μB per atom: 0.10

2.
La4GeIrCl2 | PBE | relaxed

Lattice parameters (Å, degrees): 4.2562 7.6138 7.5598 107.65 90.00 90.00
Fractional positions:
La (0.5000, 0.2559, 0.2190)
La (0.5000, 0.7441, 0.7810)
La (0.0000, 0.2726, 0.7833)
La (0.0000, 0.7274, 0.2167)
Ge (0.0000, 0.0000, 0.0000)
Ir (0.5000, 0.5000, 0.0000)
Cl (0.5000, 0.0000, 0.5000)
Cl (0.0000, 0.5000, 0.5000)

## Properties
Symmetry: P2/m, No. 10
DOS at the Fermi energy in states/eV per cell: 6.98
Raw total energy in eV per atom: -5.90
Volume in Å³ per cell: 233
E_form (uncorrected) in meV/atom: -1288
Magnetization in μB per atom: 0.00